This record from Alexandria via LeMat-Bulk describes LiTb2GaS5 after structural relaxation. The functional is PBE.

The structure belongs to space group Cmc2_1 (No. 36); the cell edges are 3.780, 16.745 and 11.224 Å and the angles 90.00°, 90.00° and 90.00°. The distinct sites, in fractional coordinates, are Li at (0.000, 0.214, 0.000), Tb at (0.000, 0.122, 0.662), Tb at (0.000, 0.134, 0.285), Ga at (0.000, 0.433, 0.437), S at (0.000, 0.043, 0.049), S at (0.000, 0.292, 0.651), S at (0.000, 0.316, 0.331), S at (0.000, 0.358, 0.981) and S at (0.000, 0.498, 0.761).

For the uncorrected formation energy, the calculation gives -1.55 eV per atom.

This record from Alexandria via LeMat-Bulk describes Al2Zn5Au5 after structural relaxation. The functional is PBE.

The structure belongs to space group C2/m (No. 12); the cell edges are 7.573, 4.458 and 12.418 Å and the angles 90.00°, 102.22° and 90.00°. The distinct sites, in fractional coordinates, are Al at (0.068, 0.000, 0.223), Zn at (0.000, 0.500, 0.500), Zn at (0.193, 0.500, 0.086), Zn at (0.231, 0.000, 0.663), Au at (0.000, 0.000, 0.000), Au at (0.114, 0.500, 0.833) and Au at (0.140, 0.000, 0.430).

The formation energy is -0.209 eV per atom. As for the density of states at the Fermi level: 3.750 states/eV per cell.

This record from Alexandria via LeMat-Bulk describes Ti4Ge3W after structural relaxation. The functional is PBE.

The structure belongs to space group I4/mcm (No. 140); the cell edges are 9.964, 9.964 and 5.132 Å and the angles 90.00°, 90.00° and 90.00°. The distinct sites, in fractional coordinates, are Ti at (0.076, 0.223, 0.000), Ge at (0.000, 0.000, 0.250), Ge at (0.164, 0.336, 0.500) and W at (0.000, 0.500, 0.250).

The formation energy is -0.581 eV per atom. As for the density of states at the Fermi level: 16.164 states/eV per cell.

> What is the formula in the first record?

LiTb2GaS5

> Number 3 is which compound?

Ti4Ge3W